[1]
Below is an optimized crystal structure of ScTeAu2, with properties calculated at the PBE-GGA level.

Cell: 4.182 4.182 9.518 Å, 90.00 90.00 90.00°
Space group I4/mmm (No. 139)
Asymmetric unit:
Sc (0.000, 0.000, 0.000) (multiplicity 2)
Te (0.000, 0.000, 0.500) (multiplicity 2)
Au (0.000, 0.500, 0.250) (multiplicity 4)

Values from the calculation:
Uncorrected formation energy   -0.4502 eV/atom
Magnetization   0.000 μB/atom


[2]
Below is an optimized crystal structure of Tc5Pt3, with properties calculated at the PBE-GGA level.

Cell: 7.8856 7.8856 4.6660 Å, 90.00 90.00 120.00°
Space group P6_3/mcm (No. 193)
Asymmetric unit:
Tc (0.0000, 0.1917, 0.2500) (multiplicity 6)
Tc (0.3333, 0.6667, 0.0000) (multiplicity 4)
Pt (0.0000, 0.3954, 0.7500) (multiplicity 6)

Values from the calculation:
Relative energy among the computed polymorphs   0.281 eV per atom
Magnetization   0.000 μB/atom


[3]
Below is an optimized crystal structure of HgPtW2, with properties calculated at the PBE-GGA level.

Cell: 2.8594 2.8594 29.1056 Å, 90.00 90.00 120.00°
Space group R3m (No. 160, hexagonal axes)
Asymmetric unit:
Hg (0.0000, 0.0000, 0.0000) (multiplicity 3)
Pt (0.0000, 0.0000, 0.2462) (multiplicity 3)
W (0.0000, 0.0000, 0.5043) (multiplicity 3)
W (0.0000, 0.0000, 0.7551) (multiplicity 3)

Values from the calculation:
Electronic total energy   -0.5691 Ry per atom
Magnetization   0.000 μB/atom


[4]
Below is an optimized crystal structure of TbNdOs, with properties calculated at the PBE-GGA level.

Cell: 3.448 3.448 13.621 Å, 90.00 90.00 90.00°
Space group I4mm (No. 107)
Asymmetric unit:
Tb (0.000, 0.000, 0.000) (multiplicity 2)
Nd (0.000, 0.000, 0.752) (multiplicity 2)
Os (0.000, 0.000, 0.381) (multiplicity 2)

Values from the calculation:
Relative energy among the computed polymorphs   0.000 eV per atom
Magnetization   0.000 μB/atom


[5]
Below is an optimized crystal structure of CaIr2Se, with properties calculated at the PBE-GGA level.

Cell: 2.946 4.792 4.928 Å, 90.00 90.00 90.00°
Space group Pmmm (No. 47)
Asymmetric unit:
Ca (0.000, 0.000, 0.000) (multiplicity 1)
Ir (0.000, 0.500, 0.500) (multiplicity 1)
Ir (0.500, 0.000, 0.500) (multiplicity 1)
Se (0.500, 0.500, 0.000) (multiplicity 1)

Values from the calculation:
Relative energy among the computed polymorphs   0.213 eV per atom
Uncorrected formation energy   -0.0275 eV/atom
Magnetization   0.000 μB/atom


[6]
Below is an optimized crystal structure of ScI3F, with properties calculated at the PBE-GGA level.

Cell: 5.676 5.676 5.676 Å, 90.00 90.00 90.00°
Space group Pm-3m (No. 221)
Asymmetric unit:
Sc (0.000, 0.000, 0.000) (multiplicity 1)
I (0.000, 0.000, 0.500) (multiplicity 3)
F (0.500, 0.500, 0.500) (multiplicity 1)

Values from the calculation:
Relative energy among the computed polymorphs   0.000 eV per atom
Uncorrected formation energy   -0.7833 eV/atom
Magnetization   0.176 μB/atom